DFT (PBE) results for a relaxed CoSBr crystal.

The density of states at the Fermi level comes out at 1.341 states/eV/f.u. The volume comes out at 131 Å³/cell. The formation energy from raw total energies is -381 meV per atom. Its uncorrected energy is -4.683 eV per atom.

It has space group Pmmn (No. 59, origin choice 2), with a = 3.4035 Å, b = 4.4099 Å, c = 8.7243 Å, α = 90.00°, β = 90.00° and γ = 90.00°. The distinct sites, in fractional coordinates, are Co at (0.2500, 0.2500, 0.1149), S at (0.2500, 0.7500, 0.0498) and Br at (0.2500, 0.7500, 0.6875).

DFT (PBE) results for a relaxed CoSe2SBr crystal.

The density of states at the Fermi level comes out at 5.993 states/eV/f.u. The volume comes out at 103 Å³/cell. The formation energy from raw total energies is 597 meV per atom. The calculation puts the distance to the lowest polymorph of the same formula at 0 meV/atom. Its uncorrected energy is -3.378 eV per atom.

It has space group P4/mmm (No. 123), with a = 4.6488 Å, b = 4.6488 Å, c = 4.7796 Å, α = 90.00°, β = 90.00° and γ = 90.00°. The distinct sites, in fractional coordinates, are Co at (0.0000, 0.0000, 0.0000), Se at (0.0000, 0.5000, 0.0000), S at (0.5000, 0.5000, 0.5000) and Br at (0.0000, 0.0000, 0.5000).

DFT (PBE) results for a relaxed CoSe2SBr crystal.

The density of states at the Fermi level comes out at 3.270 states/eV/f.u. The volume comes out at 119 Å³/cell. The formation energy from raw total energies is 939 meV per atom. The calculation puts the distance to the lowest polymorph of the same formula at 342 meV/atom. Its uncorrected energy is -3.036 eV per atom.

It has space group P4/mmm (No. 123), with a = 4.9587 Å, b = 4.9587 Å, c = 4.8218 Å, α = 90.00°, β = 90.00° and γ = 90.00°. The distinct sites, in fractional coordinates, are Co at (0.0000, 0.0000, 0.0000), Se at (0.0000, 0.5000, 0.5000), S at (0.5000, 0.5000, 0.5000) and Br at (0.5000, 0.5000, 0.0000).

DFT (PBE) results for a relaxed CoSeSBr2 crystal.

The density of states at the Fermi level comes out at 6.389 states/eV/f.u. The volume comes out at 109 Å³/cell. The formation energy from raw total energies is 570 meV per atom. The calculation puts the distance to the lowest polymorph of the same formula at 0 meV/atom. Its uncorrected energy is -3.043 eV per atom.

It has space group P4/mmm (No. 123), with a = 4.8034 Å, b = 4.8034 Å, c = 4.7328 Å, α = 90.00°, β = 90.00° and γ = 90.00°. The distinct sites, in fractional coordinates, are Co at (0.0000, 0.0000, 0.0000), Se at (0.0000, 0.0000, 0.5000), S at (0.5000, 0.5000, 0.5000) and Br at (0.0000, 0.5000, 0.0000).

DFT (PBE) results for a relaxed CoSeSBr2 crystal.

The density of states at the Fermi level comes out at 10.696 states/eV/f.u. The volume comes out at 127 Å³/cell. The formation energy from raw total energies is 899 meV per atom. The calculation puts the distance to the lowest polymorph of the same formula at 329 meV/atom. Its uncorrected energy is -2.714 eV per atom.

It has space group P4/mmm (No. 123), with a = 4.9766 Å, b = 4.9766 Å, c = 5.1223 Å, α = 90.00°, β = 90.00° and γ = 90.00°. The distinct sites, in fractional coordinates, are Co at (0.0000, 0.0000, 0.0000), Se at (0.5000, 0.5000, 0.0000), S at (0.5000, 0.5000, 0.5000) and Br at (0.0000, 0.5000, 0.5000).

DFT (PBE) results for a relaxed Sm6Co2SBr3 crystal.

The density of states at the Fermi level comes out at 6.649 states/eV/f.u. The volume comes out at 640 Å³/cell. The formation energy from raw total energies is -1035 meV per atom. Its uncorrected energy is -5.341 eV per atom.

It has space group C2/m (No. 12), with a = 7.0113 Å, b = 12.1458 Å, c = 7.8685 Å, α = 90.00°, β = 107.19° and γ = 90.00°. The distinct sites, in fractional coordinates, are Sm at (0.2104, 0.0000, 0.1921), Sm at (0.2413, 0.3234, 0.1928), Co at (0.0000, 0.1671, 0.0000), S at (0.0000, 0.5000, 0.0000), Br at (0.0000, 0.0000, 0.5000) and Br at (0.0000, 0.3369, 0.5000).

DFT (PBE) results for a relaxed Sm4CoSBr2 crystal.

The density of states at the Fermi level comes out at 4.715 states/eV/f.u. The volume comes out at 211 Å³/cell. The formation energy from raw total energies is -1160 meV per atom. Its uncorrected energy is -5.342 eV per atom.

It has space group P2/m (No. 10), with a = 7.2778 Å, b = 3.9192 Å, c = 7.7642 Å, α = 90.00°, β = 107.27° and γ = 90.00°. The distinct sites, in fractional coordinates, are Sm at (0.2076, 0.0000, 0.1928), Sm at (0.2589, 0.5000, 0.8015), Co at (0.0000, 0.5000, 0.0000), S at (0.5000, 0.0000, 0.0000), Br at (0.0000, 0.0000, 0.5000) and Br at (0.5000, 0.5000, 0.5000).

DFT (PBE) results for a relaxed Tb6Co2SBr3 crystal.

The density of states at the Fermi level comes out at 6.855 states/eV/f.u. The volume comes out at 612 Å³/cell. The formation energy from raw total energies is -1030 meV per atom. Its uncorrected energy is -5.292 eV per atom.

It has space group C2/m (No. 12), with a = 6.9044 Å, b = 11.9638 Å, c = 7.7515 Å, α = 90.00°, β = 107.18° and γ = 90.00°. The distinct sites, in fractional coordinates, are Tb at (0.2083, 0.0000, 0.1895), Tb at (0.2412, 0.3228, 0.1902), Co at (0.0000, 0.1672, 0.0000), S at (0.0000, 0.5000, 0.0000), Br at (0.0000, 0.0000, 0.5000) and Br at (0.0000, 0.3377, 0.5000).

DFT (PBE) results for a relaxed Th6Co3S2Br crystal.

The density of states at the Fermi level comes out at 7.999 states/eV/f.u. The volume comes out at 604 Å³/cell. The formation energy from raw total energies is -885 meV per atom. Its uncorrected energy is -7.198 eV per atom.

It has space group C2/m (No. 12), with a = 17.9113 Å, b = 4.1906 Å, c = 8.5504 Å, α = 90.00°, β = 109.84° and γ = 90.00°. The distinct sites, in fractional coordinates, are Th at (0.0127, 0.0000, 0.2226), Th at (0.1562, 0.5000, 0.0917), Th at (0.1839, 0.5000, 0.5721), Co at (0.0000, 0.5000, 0.0000), Co at (0.1660, 0.0000, 0.3301), S at (0.1650, 0.0000, 0.8290) and Br at (0.0000, 0.5000, 0.5000).

DFT (PBE) results for a relaxed Y2CoSBr crystal.

The density of states at the Fermi level comes out at 5.487 states/eV/f.u. The volume comes out at 114 Å³/cell. The formation energy from raw total energies is -689 meV per atom. The calculation puts the distance to the lowest polymorph of the same formula at 0 meV/atom. Its uncorrected energy is -5.856 eV per atom.

It has space group P4/mmm (No. 123), with a = 5.3344 Å, b = 5.3344 Å, c = 4.0066 Å, α = 90.00°, β = 90.00° and γ = 90.00°. The distinct sites, in fractional coordinates, are Y at (0.0000, 0.5000, 0.0000), Co at (0.0000, 0.0000, 0.5000), S at (0.0000, 0.0000, 0.0000) and Br at (0.5000, 0.5000, 0.5000).

DFT (PBE) results for a relaxed YCo2SBr crystal.

The density of states at the Fermi level comes out at 4.164 states/eV/f.u. The volume comes out at 113 Å³/cell. The formation energy from raw total energies is 314 meV per atom. Its uncorrected energy is -4.981 eV per atom.

It has space group P4/mmm (No. 123), with a = 4.1933 Å, b = 4.1933 Å, c = 6.4475 Å, α = 90.00°, β = 90.00° and γ = 90.00°. The distinct sites, in fractional coordinates, are Y at (0.0000, 0.0000, 0.0000), Co at (0.0000, 0.5000, 0.5000), S at (0.5000, 0.5000, 0.0000) and Br at (0.5000, 0.5000, 0.5000).

DFT (PBE) results for a relaxed Y2CoSBr crystal.

The density of states at the Fermi level comes out at 3.763 states/eV/f.u. The volume comes out at 153 Å³/cell. The formation energy from raw total energies is 85 meV per atom. The calculation puts the distance to the lowest polymorph of the same formula at 774 meV/atom. Its uncorrected energy is -5.082 eV per atom.

It has space group P4/mmm (No. 123), with a = 5.1190 Å, b = 5.1190 Å, c = 5.8211 Å, α = 90.00°, β = 90.00° and γ = 90.00°. The distinct sites, in fractional coordinates, are Y at (0.0000, 0.5000, 0.0000), Co at (0.0000, 0.0000, 0.5000), S at (0.5000, 0.5000, 0.0000) and Br at (0.5000, 0.5000, 0.5000).